The following is a PBE-GGA calculation of Sm2AgP after structural relaxation, from the Alexandria database.

Calculated values
As for the space group: R-3m (166). The calculation puts the total energy at -5.245 eV per atom. As for the total moment: 0.0 μB per formula unit.

Cell: 4.1275 4.1275 21.6390 Å, 90.00 90.00 120.00°
Element x y z (fractional)
Sm 0.0000 0.0000 0.2379
Sm 0.0000 0.0000 0.7621
Sm 0.3333 0.6667 0.4287
Sm 0.3333 0.6667 0.9046
Sm 0.6667 0.3333 0.0954
Sm 0.6667 0.3333 0.5713
Ag 0.0000 0.0000 0.0000
Ag 0.3333 0.6667 0.6667
Ag 0.6667 0.3333 0.3333
P 0.0000 0.0000 0.5000
P 0.3333 0.6667 0.1667
P 0.6667 0.3333 0.8333